Below is a geometry-optimized Mg3SbN structure, with properties calculated at the PBE-GGA level.

a = 5.287 Å, b = 5.287 Å, c = 5.287 Å
α = 90.00°, β = 90.00°, γ = 90.00°
Fractional coordinates of all 5 atoms:
Mg 0.000 0.000 0.500
Mg 0.000 0.500 0.000
Mg 0.500 0.000 0.000
Sb 0.000 0.000 0.000
N 0.500 0.500 0.500

Output
- Energy: -11.13 eV for the cell shown
- Total magnetic moment: 0.12 μB/cell
- Space group: No. 221
- Volume: 29.6 Å³ per atom
- ΔE_f (raw): 28.2 kcal/mol of atoms